Entry 1:
# ScTl3Pt PBEsol relaxed
data_ScTl3Pt
_chemical_formula_sum 'Sc1 Tl3 Pt1'
_space_group_name_H-M_alt 'P m -3 m'
_space_group_IT_number 221
_space_group_name_Hall '-P 4 2 3'
_cell_length_a 5.185
_cell_length_b 5.185
_cell_length_c 5.185
_cell_angle_alpha 90.00
_cell_angle_beta 90.00
_cell_angle_gamma 90.00
loop_
_atom_site_label
_atom_site_type_symbol
_atom_site_fract_x
_atom_site_fract_y
_atom_site_fract_z
Sc1 Sc 0.000 0.000 0.000
Tl1 Tl 0.000 0.500 0.500
Pt1 Pt 0.500 0.500 0.500
# **Raw total energy**: -3.9986 eV/atom

=====

Entry 2:
# ScTlPt2 PBEsol relaxed
data_ScTlPt2
_chemical_formula_sum 'Sc4 Tl4 Pt8'
_space_group_name_H-M_alt 'F -4 3 m'
_space_group_IT_number 216
_space_group_name_Hall 'F -4 2 3'
_cell_length_a 6.548
_cell_length_b 6.548
_cell_length_c 6.548
_cell_angle_alpha 90.00
_cell_angle_beta 90.00
_cell_angle_gamma 90.00
loop_
_atom_site_label
_atom_site_type_symbol
_atom_site_fract_x
_atom_site_fract_y
_atom_site_fract_z
Sc1 Sc 0.000 0.000 0.000
Tl1 Tl 0.250 0.250 0.750
Pt1 Pt 0.000 0.000 0.500
Pt2 Pt 0.250 0.250 0.250
# **Raw total energy**: -6.2971 eV/atom

=====

Entry 3:
# ScPt2W PBEsol relaxed
data_ScPt2W
_chemical_formula_sum 'Sc1 Pt2 W1'
_space_group_name_H-M_alt 'P m m m'
_space_group_IT_number 47
_cell_length_a 2.802
_cell_length_b 4.011
_cell_length_c 5.603
_cell_angle_alpha 90.00
_cell_angle_beta 90.00
_cell_angle_gamma 90.00
loop_
_space_group_symop_operation_xyz
'x,y,z'
'-x,-y,-z'
'-x,-y,z'
'x,y,-z'
'x,-y,-z'
'-x,y,z'
'-x,y,-z'
'x,-y,z'
loop_
_atom_site_label
_atom_site_type_symbol
_atom_site_fract_x
_atom_site_fract_y
_atom_site_fract_z
Sc1 Sc 0.000 0.000 0.000
Pt1 Pt 0.500 0.500 0.259
W1 W 0.000 0.000 0.500
# **Raw total energy**: -9.1452 eV/atom

=====

Entry 4:
# ScPt2W PBEsol relaxed
data_ScPt2W
_chemical_formula_sum 'Sc2 Pt4 W2'
_space_group_name_H-M_alt 'C m m m'
_space_group_IT_number 65
_space_group_name_Hall '-C 2 2'
_cell_length_a 5.614
_cell_length_b 7.978
_cell_length_c 2.795
_cell_angle_alpha 90.00
_cell_angle_beta 90.00
_cell_angle_gamma 90.00
loop_
_atom_site_label
_atom_site_type_symbol
_atom_site_fract_x
_atom_site_fract_y
_atom_site_fract_z
Sc1 Sc 0.000 0.000 0.000
Pt1 Pt 0.250 0.250 0.500
W1 W 0.000 0.500 0.000
# **Raw total energy**: -9.1704 eV/atom

=====

Q: raw total energy of number 1 (ScTl3Pt)?
A: -3.9986 eV/atom